This record from Alexandria via LeMat-Bulk describes Re2HgTe after structural relaxation. The functional is GGA-PBEsol.

Cell: 2.9408 4.3785 5.8422 Å, 90.00 91.87 90.00°
Closest atoms and distances in Å follow each position.
Element x y z (fractional)
Re (0.5604, 0.0000, 0.7043)  1 Re 2.40
Hg (0.0000, 0.5000, 0.5000)  8 Re 2.83-2.97, 2 Hg 2.94
Te (0.5000, 0.5000, 0.0000)  4 Re 2.80, 2 Te 2.94
Re (0.4396, 0.0000, 0.2957)  1 Re 2.40

Computed properties:
- Mass density: 15.5 g cm⁻³
- E_form (uncorrected): 1035 meV per atom
- Polymorph energy (0 for the lowest one): 2.106 eV/f.u.
- Magnetic moment: 0.00 μB per atom
- Space-group type: P2/m (10)